(1)
First-principles (PBE) data for an optimized crystal structure of Pr5DyY6, as listed in Alexandria via LeMat-Bulk.

```
Pr5DyY6
1.0
3.150 -5.453 0.000
3.150 5.453 0.000
-2.089 0.000 11.745
Pr Dy Y
5 1 6
Cartesian
0.000 0.000 0.000
2.106 3.638 5.873
3.150 1.820 0.000
3.150 -1.820 0.000
2.106 -3.638 5.873
2.106 0.000 5.873
1.056 1.815 2.952
0.011 0.000 8.797
1.056 -1.815 2.952
3.155 1.815 8.793
4.200 0.000 2.948
3.155 -1.815 8.793
```

Values from the calculation:
- density of states at the Fermi level (states/eV/f.u.) = 14.44
- V (A^3/atom) = 33.63
- space group = C2/m (12)
- final energy (eV/cell) = -67.17
- size of the total moment (μB per cell) = 0.00



(2)
First-principles (PBE) data for an optimized crystal structure of Pr3DyY7, as listed in Alexandria via LeMat-Bulk.

```
Pr3DyY7
1.0
7.145 0.000 0.000
-3.573 6.188 0.000
0.000 0.000 8.743
Pr Dy Y
3 1 7
Cartesian
-1.784 3.096 0.000
1.784 3.096 0.000
0.000 6.185 0.000
0.000 4.125 2.956
0.000 2.074 5.787
-1.777 5.151 5.787
1.793 1.035 2.943
1.777 5.151 5.787
3.573 2.063 5.780
5.352 1.035 2.943
3.573 4.118 2.943
```

Values from the calculation:
- offset from the most stable computed form (meV/atom) = 33.4
- density of states at the Fermi level (states/eV/f.u.) = 17.79
- V (A^3/atom) = 35.15
- space group = P3m1 (156)
- size of the total moment (μB per cell) = 0.00



(3)
First-principles (PBE) data for an optimized crystal structure of Pr3Dy5Y, as listed in Alexandria via LeMat-Bulk.

```
Pr3Dy5Y
1.0
7.717 -5.699 0.000
7.717 5.699 0.000
-6.520 0.000 7.669
Pr Dy Y
6 10 2
Cartesian
0.000 0.000 0.000
-1.892 0.000 2.378
6.467 0.000 1.065
4.457 0.000 3.835
2.447 0.000 6.604
10.806 0.000 5.291
0.388 2.854 5.725
-1.349 0.000 5.558
4.457 2.926 3.835
1.270 0.000 3.552
8.526 2.854 1.944
0.388 -2.854 5.725
7.644 0.000 4.117
4.457 -2.926 3.835
10.263 0.000 2.112
8.526 -2.854 1.944
3.256 0.000 0.767
5.659 0.000 6.902
```

Values from the calculation:
- density of states at the Fermi level (states/eV/f.u.) = 13.00
- V (A^3/atom) = 37.48
- space group = C2/m (12)
- final energy (eV/cell) = -78.25
- size of the total moment (μB per cell) = 0.00